The following is a PBE calculation of crystalline Cs2ErOF3 at its relaxed geometry, from the Alexandria database.

a b c (Å): 8.2703 8.2703 8.2703
angles (deg): 149.22 148.21 44.83
Last column: nearest neighbours and their distance in Å.
Fractional positions:
Cs: 0.1484 0.1484 0.0000  7 F 3.15-3.16, 2 O 3.21
Cs: 0.8516 0.8516 0.0000  7 F 3.15-3.16, 2 O 3.21
Er: 0.5000 0.5000 0.0000  2 O 2.19, 4 F 2.23-2.26
O: 0.5000 0.0000 0.5000  2 Er 2.19
F: 0.0000 0.5000 0.5000  2 Er 2.26
F: 0.3542 0.3542 0.0000  1 Er 2.23
F: 0.6458 0.6458 0.0000  1 Er 2.23

Calculated values
Magnetization: 0.00 μB per formula unit
Raw formation energy: -3.140 eV/atom
Raw total energy: -38.83 eV per cell



The following is a PBE calculation of crystalline ErRe2O8 at its relaxed geometry, from the Alexandria database.

a b c (Å): 6.7229 6.7229 6.7229
angles (deg): 60.00 60.00 60.00
Last column: nearest neighbours and their distance in Å.
Fractional positions:
Er: 0.0000 0.0000 0.0000  8 O 2.35
Re: 0.2500 0.2500 0.2500  4 O 1.77
Re: 0.7500 0.7500 0.7500  4 O 1.77
O: 0.1426 0.1426 0.1426  1 Re 1.77
O: 0.1426 0.1426 0.5721  1 Re 1.77
O: 0.1426 0.5721 0.1426  1 Re 1.77
O: 0.4279 0.8574 0.8574  1 Re 1.77
O: 0.5721 0.1426 0.1426  1 Re 1.77
O: 0.8574 0.4279 0.8574  1 Re 1.77
O: 0.8574 0.8574 0.4279  1 Re 1.77
O: 0.8574 0.8574 0.8574  1 Re 1.77

Calculated values
Magnetization: 0.00 μB per formula unit
Raw formation energy: -2.040 eV/atom
Energy above the most stable polymorph in this dataset: 0.011 eV per atom
Raw total energy: -91.56 eV per cell



The following is a PBE calculation of crystalline CaTlCo2 at its relaxed geometry, from the Alexandria database.

a b c (Å): 3.5992 4.3878 5.2931
angles (deg): 90.00 90.00 90.00
Last column: nearest neighbours and their distance in Å.
Fractional positions:
Ca: 0.0000 0.0000 0.0000  8 Co 3.05, 4 Tl 3.20
Tl: 0.5000 0.0000 0.5000  4 Co 2.67
Co: 0.5000 0.5000 0.2132  1 Co 2.26
Co: 0.5000 0.5000 0.7868  1 Co 2.26

Calculated values
Magnetization: 2.65 μB per formula unit
Raw total energy: -16.84 eV per cell



The following is a PBE calculation of crystalline Hf2ZrF at its relaxed geometry, from the Alexandria database.

a b c (Å): 5.9347 5.9347 5.9347
angles (deg): 103.37 103.37 122.51
Last column: nearest neighbours and their distance in Å.
Fractional positions:
Hf: 0.0348 0.6250 0.9098  2 F 2.30
Hf: 0.3750 0.2848 0.4098  2 F 2.30
Hf: 0.7152 0.1250 0.0902  2 F 2.30
Hf: 0.8750 0.9652 0.5902  2 F 2.30
Zr: 0.2500 0.7500 0.5000  2 F 2.85, 8 Hf 3.06-3.19
Zr: 0.5000 0.5000 0.0000  2 F 2.85, 8 Hf 3.06-3.19
F: 0.0000 0.0000 0.0000  4 Hf 2.30
F: 0.7500 0.2500 0.5000  4 Hf 2.30

Calculated values
Magnetization: 0.00 μB per formula unit
Raw formation energy: -0.569 eV/atom
Energy above the most stable polymorph in this dataset: 0.000 eV per atom
Raw total energy: -65.21 eV per cell



The following is a PBE calculation of crystalline Mn2HgAu at its relaxed geometry, from the Alexandria database.

a b c (Å): 5.0460 5.0460 4.7737
angles (deg): 101.48 101.48 35.95
Last column: nearest neighbours and their distance in Å.
Fractional positions:
Mn: 0.0000 0.0000 0.0000  3 Au 2.81, 4 Hg 2.83-2.87, 5 Mn 2.92-3.11
Mn: 0.7480 0.7480 0.2809  4 Au 2.78-2.92, 3 Hg 2.79-2.87, 5 Mn 2.92-3.11
Hg: 0.4991 0.4991 0.4957  7 Mn 2.79-2.87, 3 Au 3.00-3.02, 2 Hg 3.11
Au: 0.2561 0.2561 0.8019  7 Mn 2.78-2.92, 3 Hg 3.00-3.02, 2 Au 3.11

Calculated values
Magnetization: 7.87 μB per formula unit
Raw total energy: -21.06 eV per cell



The following is a PBE calculation of crystalline ZnNi3Ru at its relaxed geometry, from the Alexandria database.

a b c (Å): 4.2504 4.2504 4.2504
angles (deg): 90.00 90.00 90.00
Last column: nearest neighbours and their distance in Å.
Fractional positions:
Zn: 0.0000 0.0000 0.0000  6 Ni 2.13
Ni: 0.0000 0.0000 0.5000  2 Zn 2.13
Ni: 0.0000 0.5000 0.0000  2 Zn 2.13
Ni: 0.5000 0.0000 0.0000  2 Zn 2.13
Ru: 0.5000 0.5000 0.5000  12 Ni 3.01

Calculated values
Magnetization: 3.69 μB per formula unit
Energy above the most stable polymorph in this dataset: 0.000 eV per atom
Raw total energy: -21.85 eV per cell



The following is a PBE calculation of crystalline InGeBi2 at its relaxed geometry, from the Alexandria database.

a b c (Å): 8.3038 8.3038 8.3038
angles (deg): 132.06 132.06 70.13
Last column: nearest neighbours and their distance in Å.
Fractional positions:
In: 0.0000 0.0000 0.0000  4 Bi 3.00
In: 0.7500 0.2500 0.5000  4 Bi 3.00
Ge: 0.2500 0.7500 0.5000  4 Bi 2.86
Ge: 0.5000 0.5000 0.0000  4 Bi 2.86
Bi: 0.1440 0.6250 0.0190  2 Ge 2.86, 2 In 3.00
Bi: 0.3750 0.3940 0.5190  2 Ge 2.86, 2 In 3.00
Bi: 0.6060 0.1250 0.9810  2 Ge 2.86, 2 In 3.00
Bi: 0.8750 0.8560 0.4810  2 Ge 2.86, 2 In 3.00

Calculated values
Magnetization: 0.00 μB per formula unit
Raw total energy: -28.76 eV per cell



The following is a PBE calculation of crystalline Tb2Pr6Nd3Ho at its relaxed geometry, from the Alexandria database.

a b c (Å): 6.3660 6.3660 12.0831
angles (deg): 95.04 95.04 120.02
Last column: nearest neighbours and their distance in Å.
Fractional positions:
Tb: 0.1666 0.8334 0.0000  6 Pr 3.61-3.62, 3 Ho 3.67-3.68, 3 Tb 3.68
Tb: 0.8334 0.1666 0.0000  6 Pr 3.61-3.62, 3 Ho 3.67-3.68, 3 Tb 3.68
Pr: 0.0844 0.4174 0.7539  2 Tb 3.61-3.62, 1 Ho 3.62, 6 Pr 3.67-3.68, 3 Nd 3.69
Pr: 0.2495 0.2495 0.2463  1 Ho 3.61, 2 Tb 3.62, 6 Pr 3.67-3.68, 3 Nd 3.69
Pr: 0.4174 0.0844 0.7539  2 Tb 3.61-3.62, 1 Ho 3.62, 6 Pr 3.67-3.68, 3 Nd 3.69
Pr: 0.5826 0.9156 0.2461  2 Tb 3.61-3.62, 1 Ho 3.62, 6 Pr 3.67-3.68, 3 Nd 3.69
Pr: 0.7505 0.7505 0.7537  1 Ho 3.61, 2 Tb 3.62, 6 Pr 3.67-3.68, 3 Nd 3.69
Pr: 0.9156 0.5826 0.2461  2 Tb 3.61-3.62, 1 Ho 3.62, 6 Pr 3.67-3.68, 3 Nd 3.69
Nd: 0.0000 0.0000 0.5000  6 Nd 3.67-3.68, 6 Pr 3.69
Nd: 0.3333 0.6667 0.5000  6 Nd 3.67-3.68, 6 Pr 3.69
Nd: 0.6667 0.3333 0.5000  6 Nd 3.67-3.68, 6 Pr 3.69
Ho: 0.5000 0.5000 0.0000  6 Pr 3.61-3.62, 6 Tb 3.67-3.68

Calculated values
Magnetization: 0.00 μB per formula unit
Raw total energy: -56.66 eV per cell



The following is a PBE calculation of crystalline LaFeSb2I at its relaxed geometry, from the Alexandria database.

a b c (Å): 5.0245 5.0245 5.5896
angles (deg): 90.00 90.00 90.00
Last column: nearest neighbours and their distance in Å.
Fractional positions:
La: 0.0000 0.0000 0.0000  4 I 3.55, 8 Sb 3.76
Fe: 0.5000 0.5000 0.5000  4 Sb 2.51, 2 I 2.79
Sb: 0.0000 0.5000 0.5000  2 Fe 2.51
Sb: 0.5000 0.0000 0.5000  2 Fe 2.51
I: 0.5000 0.5000 0.0000  2 Fe 2.79

Calculated values
Magnetization: 2.58 μB per formula unit
Raw formation energy: -0.180 eV/atom
Energy above the most stable polymorph in this dataset: 0.182 eV per atom
Raw total energy: -24.09 eV per cell



The following is a PBE calculation of crystalline K2MgInF6 at its relaxed geometry, from the Alexandria database.

a b c (Å): 6.0983 8.6290 6.1040
angles (deg): 90.00 90.00 90.00
Last column: nearest neighbours and their distance in Å.
Fractional positions:
K: 0.2500 0.9996 0.2494  12 F 3.04-3.07
K: 0.2500 0.5004 0.2494  12 F 3.04-3.07
K: 0.7500 0.0004 0.7506  12 F 3.04-3.07
K: 0.7500 0.4996 0.7506  12 F 3.04-3.07
Mg: 0.2500 0.2500 0.7507  6 F 2.02
Mg: 0.7500 0.7500 0.2493  6 F 2.02
In: 0.2500 0.7500 0.7494  6 F 2.29
In: 0.7500 0.2500 0.2506  6 F 2.29
F: 0.0158 0.2500 0.5167  1 Mg 2.02
F: 0.0155 0.2500 0.9846  1 Mg 2.02
F: 0.2500 0.0159 0.7516  1 Mg 2.02
F: 0.2500 0.4841 0.7516  1 Mg 2.02
F: 0.4842 0.2500 0.5167  1 Mg 2.02
F: 0.4845 0.2500 0.9846  1 Mg 2.02
F: 0.5155 0.7500 0.0154  1 Mg 2.02
F: 0.5158 0.7500 0.4833  1 Mg 2.02
F: 0.7500 0.5159 0.2484  1 Mg 2.02
F: 0.7500 0.9841 0.2484  1 Mg 2.02
F: 0.9845 0.7500 0.0154  1 Mg 2.02
F: 0.9842 0.7500 0.4833  1 Mg 2.02

Calculated values
Magnetization: 0.36 μB per formula unit
Raw formation energy: -2.792 eV/atom
Raw total energy: -91.34 eV per cell



The following is a PBE calculation of crystalline HfMn2NiH at its relaxed geometry, from the Alexandria database.

a b c (Å): 3.7342 3.7342 4.1722
angles (deg): 90.00 90.00 90.00
Last column: nearest neighbours and their distance in Å.
Fractional positions:
Hf: 0.0000 0.0000 0.0000  2 H 2.09
Mn: 0.0000 0.5000 0.5000  2 H 1.87
Mn: 0.5000 0.0000 0.5000  2 H 1.87
Ni: 0.5000 0.5000 0.0000  4 Hf 2.64, 8 Mn 2.80
H: 0.0000 0.0000 0.5000  4 Mn 1.87, 2 Hf 2.09

Calculated values
Magnetization: 4.66 μB per formula unit
Energy above the most stable polymorph in this dataset: 0.000 eV per atom
Raw total energy: -38.02 eV per cell



The following is a PBE calculation of crystalline Rb3Nd2HfTe6 at its relaxed geometry, from the Alexandria database.

a b c (Å): 7.7804 7.7804 8.9880
angles (deg): 98.33 98.33 120.01
Last column: nearest neighbours and their distance in Å.
Fractional positions:
Rb: 0.0000 0.0000 0.0000  6 Te 3.60-3.78
Rb: 0.3266 0.6734 0.0000  6 Te 3.61-3.73
Rb: 0.6734 0.3266 0.0000  6 Te 3.61-3.73
Nd: 0.1658 0.8342 0.5000  6 Te 3.19-3.20
Nd: 0.8342 0.1658 0.5000  6 Te 3.19-3.20
Hf: 0.5000 0.5000 0.5000  6 Te 2.97
Te: 0.1229 0.4334 0.2998  1 Hf 2.97, 2 Nd 3.19-3.20
Te: 0.2581 0.2581 0.7023  1 Hf 2.97, 2 Nd 3.20
Te: 0.4334 0.1229 0.2998  1 Hf 2.97, 2 Nd 3.19-3.20
Te: 0.5666 0.8771 0.7002  1 Hf 2.97, 2 Nd 3.19-3.20
Te: 0.7419 0.7419 0.2977  1 Hf 2.97, 2 Nd 3.20
Te: 0.8771 0.5666 0.7002  1 Hf 2.97, 2 Nd 3.19-3.20

Calculated values
Magnetization: 0.00 μB per formula unit
Raw formation energy: -1.203 eV/atom
Raw total energy: -55.68 eV per cell